No. 1
# CdSn2Te2

An optimized crystal structure of CdSn2Te2 (PBE, Alexandria).

Cell lengths 8.4456, 8.4456, 4.2621 Å; angles 90.00, 90.00, 90.00 degrees
With the nearest neighbours (Å) after each atom.
Fractional coordinates of all 10 atoms:
Te 0.8383 0.3383 0.5000  6 Sn 3.14-3.36
Sn 0.6453 0.1453 0.0000  6 Te 3.14-3.36, 2 Cd 3.24, 1 Sn 3.47
Cd 0.5000 0.5000 0.0000  4 Sn 3.24
Te 0.6617 0.8383 0.5000  6 Sn 3.14-3.36
Cd 0.0000 0.0000 0.0000  4 Sn 3.24
Te 0.1617 0.6617 0.5000  6 Sn 3.14-3.36
Sn 0.1453 0.3547 0.0000  6 Te 3.14-3.36, 2 Cd 3.24, 1 Sn 3.47
Sn 0.3547 0.8547 0.0000  6 Te 3.14-3.36, 2 Cd 3.24, 1 Sn 3.47
Te 0.3383 0.1617 0.5000  6 Sn 3.14-3.36
Sn 0.8547 0.6453 0.0000  6 Te 3.14-3.36, 2 Cd 3.24, 1 Sn 3.47

Results
Uncorrected formation energy: -0.052 eV per atom


No. 2
# CdSn2Te2

An optimized crystal structure of CdSn2Te2 (PBE, Alexandria).

Cell lengths 6.0736, 6.0736, 6.1944 Å; angles 60.64, 60.64, 90.00 degrees
With the nearest neighbours (Å) after each atom.
Fractional coordinates of all 5 atoms:
Sn 0.6716 0.6716 0.6567  1 Cd 2.93, 1 Sn 3.06, 4 Te 3.12
Te 0.7500 0.2500 0.5000  4 Sn 3.12
Te 0.2500 0.7500 0.5000  4 Sn 3.12
Cd 0.0000 0.0000 0.0000  2 Sn 2.93
Sn 0.3284 0.3284 0.3433  1 Cd 2.93, 1 Sn 3.06, 4 Te 3.12

Results
Uncorrected formation energy: -0.049 eV per atom


No. 3
# Cd2SnTe

An optimized crystal structure of Cd2SnTe (PBE, Alexandria).

Cell lengths 5.3251, 5.3251, 5.3251 Å; angles 60.00, 60.00, 60.00 degrees
With the nearest neighbours (Å) after each atom.
Fractional coordinates of all 4 atoms:
Cd 0.2500 0.2500 0.2500  4 Te 3.26, 4 Sn 3.26
Te 0.5000 0.5000 0.5000  8 Cd 3.26
Sn 0.0000 0.0000 0.0000  8 Cd 3.26
Cd 0.7500 0.7500 0.7500  4 Te 3.26, 4 Sn 3.26

Results
Uncorrected formation energy: 0.146 eV per atom


No. 4
# Cd2Sn2Te

An optimized crystal structure of Cd2Sn2Te (PBE, Alexandria).

Cell lengths 4.1915, 4.1915, 8.6312 Å; angles 75.95, 75.95, 90.00 degrees
With the nearest neighbours (Å) after each atom.
Fractional coordinates of all 5 atoms:
Cd 0.2500 0.7500 0.5000  4 Cd 2.96, 4 Sn 3.26
Sn 0.5958 0.5958 0.8083  1 Sn 3.11, 4 Cd 3.26, 4 Te 3.35
Sn 0.4042 0.4042 0.1917  1 Sn 3.11, 4 Cd 3.26, 4 Te 3.35
Te 0.0000 0.0000 0.0000  8 Sn 3.35
Cd 0.7500 0.2500 0.5000  4 Cd 2.96, 4 Sn 3.26

Results
Uncorrected formation energy: 0.067 eV per atom


No. 5
# CdSn2Te4

An optimized crystal structure of CdSn2Te4 (PBE, Alexandria).

Cell lengths 6.9121, 6.9121, 5.7144 Å; angles 90.00, 90.00, 90.00 degrees
With the nearest neighbours (Å) after each atom.
Fractional coordinates of all 7 atoms:
Te 0.7331 0.2669 0.7821  1 Cd 2.89, 2 Sn 2.93
Te 0.2669 0.7331 0.7821  1 Cd 2.89, 2 Sn 2.93
Cd 0.0000 0.0000 0.0000  4 Te 2.89
Sn 0.5000 0.0000 0.5000  4 Te 2.93
Te 0.7331 0.7331 0.2179  1 Cd 2.89, 2 Sn 2.93
Sn 0.0000 0.5000 0.5000  4 Te 2.93
Te 0.2669 0.2669 0.2179  1 Cd 2.89, 2 Sn 2.93

Results
Uncorrected formation energy: -0.167 eV per atom


No. 6
# CdSnTe2

An optimized crystal structure of CdSnTe2 (PBE, Alexandria).

Cell lengths 4.6099, 4.6099, 8.8902 Å; angles 90.00, 90.00, 120.00 degrees
With the nearest neighbours (Å) after each atom.
Fractional coordinates of all 4 atoms:
Sn 0.6667 0.3333 0.5077  3 Te 3.05
Te 0.6667 0.3333 0.8983  3 Cd 2.83
Te 0.0000 0.0000 0.3390  1 Cd 2.97, 3 Sn 3.05
Cd 0.0000 0.0000 0.0050  4 Te 2.83-2.97

Results
Uncorrected formation energy: -0.239 eV per atom


No. 7
# CdSn2Te2

An optimized crystal structure of CdSn2Te2 (PBE, Alexandria).

Cell lengths 5.5142, 5.5142, 7.6559 Å; angles 68.89, 68.89, 90.00 degrees
With the nearest neighbours (Å) after each atom.
Fractional coordinates of all 5 atoms:
Cd 0.0000 0.0000 0.0000  8 Sn 4.30, 10 Te 4.34-4.69
Te 0.6439 0.6439 0.7122  4 Sn 3.09
Sn 0.2500 0.7500 0.5000  4 Te 3.09
Te 0.3561 0.3561 0.2878  4 Sn 3.09
Sn 0.7500 0.2500 0.5000  4 Te 3.09

Results
Uncorrected formation energy: 0.080 eV per atom


No. 8
# CdSn2Te2

An optimized crystal structure of CdSn2Te2 (PBE, Alexandria).

Cell lengths 8.5149, 8.5149, 4.2231 Å; angles 90.00, 90.00, 90.00 degrees
With the nearest neighbours (Å) after each atom.
Fractional coordinates of all 10 atoms:
Te 0.3412 0.8412 0.0000  6 Sn 3.15-3.36, 2 Cd 3.20
Cd 0.5000 0.5000 0.0000  4 Te 3.20
Sn 0.6473 0.8527 0.5000  6 Te 3.15-3.36
Cd 0.0000 0.0000 0.0000  4 Te 3.20
Te 0.8412 0.6588 0.0000  6 Sn 3.15-3.36, 2 Cd 3.20
Te 0.1588 0.3412 0.0000  6 Sn 3.15-3.36, 2 Cd 3.20
Sn 0.3527 0.1473 0.5000  6 Te 3.15-3.36
Sn 0.1473 0.6473 0.5000  6 Te 3.15-3.36
Te 0.6588 0.1588 0.0000  6 Sn 3.15-3.36, 2 Cd 3.20
Sn 0.8527 0.3527 0.5000  6 Te 3.15-3.36

Results
Uncorrected formation energy: -0.014 eV per atom


no.,energy (eV/cell)
1,-30.928
2,-15.447
3,-8.392
4,-12.645
5,-22.657
6,-12.158
7,-14.804
8,-30.544